Entry from Alexandria: an optimized crystal structure of FeOsRu2 (GGA-PBE).

Cell and atoms, written as extended XYZ:
```
4
Lattice="-1.639 2.013 -0.564 0.125 -0.779 2.536 6.628 5.804 1.456" Properties=species:S:1:pos:R:3 pbc="T T T"
Fe 0.900 2.068 1.350
Os 4.214 4.970 2.078
Ru 0.060 0.052 0.013
Ru 3.254 2.850 0.715
```

The formation energy comes out at 0.4381 eV/atom. The density of states at the Fermi level is 1.458 states/eV per atom. The symmetry is Cmmm, No. 65.